(1)
First-principles (GGA-PBE) data for Li3Sn7 after structural relaxation, as listed in the Alexandria database.

Summary:
formation enthalpy at 0 K = -0.167 eV per atom
space group = C2/m
spin magnetization = 0.00 μB per formula unit
energy above the most stable polymorph in this dataset = 0 meV per atom

Cell lengths 4.580, 6.662, 8.429 Å; angles 101.12, 105.76, 90.00 degrees
Fractional positions:
1 Sn 0.407 0.184 0.814
2 Li 0.000 0.000 0.000
3 Sn 0.000 0.500 0.000
4 Sn 0.609 0.314 0.217
5 Sn 0.800 0.887 0.599
6 Sn 0.593 0.816 0.186
7 Sn 0.391 0.686 0.783
8 Li 0.194 0.612 0.388
9 Li 0.806 0.388 0.612
10 Sn 0.200 0.113 0.401

=====

(2)
First-principles (GGA-PBE) data for KCuIr after structural relaxation, as listed in the Alexandria database.

Summary:
formation enthalpy at 0 K = 0.721 eV per atom
space group = P3m1
spin magnetization = 0.00 μB per formula unit
energy above the most stable polymorph in this dataset = 314 meV per atom

Cell lengths 2.820, 2.820, 7.760 Å; angles 90.00, 90.00, 120.00 degrees
Fractional positions:
1 K 0.333 0.667 0.660
2 Ir 0.667 0.333 0.303
3 Cu 0.000 0.000 0.036

=====

(3)
First-principles (GGA-PBE) data for CoGeWC2 after structural relaxation, as listed in the Alexandria database.

Summary:
formation enthalpy at 0 K = 2.687 eV per atom
space group = P4/mmm
spin magnetization = 0.00 μB per formula unit

Cell lengths 3.759, 5.069, 3.759 Å; angles 90.00, 90.00, 90.00 degrees
Fractional positions:
1 Ge 0.000 0.000 0.000
2 W 0.000 0.500 0.000
3 C 0.500 0.000 0.000
4 C 0.000 0.000 0.500
5 Co 0.500 0.500 0.500